No. 1
Compound: Ba2Mn2Nb
Source: the Alexandria database
Functional: PBE-GGA
Structure: relaxed

abc: 9.056 9.056 3.524
angles: 90.00 90.00 90.00
Element x y z (fractional)
Ba 0.140 0.360 0.000
Ba 0.360 0.860 0.000
Ba 0.640 0.140 0.000
Ba 0.860 0.640 0.000
Mn 0.167 0.667 0.500
Mn 0.333 0.167 0.500
Mn 0.667 0.833 0.500
Mn 0.833 0.333 0.500
Nb 0.000 0.000 0.000
Nb 0.500 0.500 0.000

Properties
The calculation puts the energy above the most stable polymorph in this dataset at 0.284 eV/atom. Its calculated volume is 28.90 A^3/atom. As for the crystal system: tetragonal. For the density of states at the Fermi level, the calculation gives 11.54 states/eV per cell. As for the symmetry: No. 127.

No. 2
Compound: BaMnNb2
Source: the Alexandria database
Functional: PBE-GGA
Structure: relaxed

abc: 4.783 4.783 4.783
angles: 60.00 60.00 60.00
Element x y z (fractional)
Ba 0.000 0.000 0.000
Mn 0.500 0.500 0.500
Nb 0.250 0.250 0.250
Nb 0.750 0.750 0.750

Properties
The calculation puts the energy above the most stable polymorph in this dataset at 0.000 eV/atom. Its calculated volume is 19.35 A^3/atom. As for the crystal system: cubic. For the density of states at the Fermi level, the calculation gives 4.39 states/eV per cell. As for the symmetry: No. 225.

No. 3
Compound: Ba2Mn2Nb
Source: the Alexandria database
Functional: PBE-GGA
Structure: relaxed

abc: 11.877 11.877 11.877
angles: 164.42 164.42 22.11
Element x y z (fractional)
Ba 0.121 0.121 0.000
Ba 0.879 0.879 0.000
Mn 0.250 0.750 0.500
Mn 0.750 0.250 0.500
Nb 0.500 0.500 0.000

Properties
The calculation puts the energy above the most stable polymorph in this dataset at 0.000 eV/atom. Its calculated volume is 24.18 A^3/atom. As for the crystal system: tetragonal. For the density of states at the Fermi level, the calculation gives 6.09 states/eV per cell. As for the symmetry: No. 139.